The following is a DFT calculation (GGA+U) of Rb2VNiF6 after structural relaxation.

N(E_F): 0.00 states/eV/f.u.
ΔE to the lowest computed polymorph: 0.0 kJ per mole of atoms

Cell lengths 8.395, 8.395, 8.395 Å; angles 90.00, 90.00, 90.00 degrees
Space group Fm-3m (No. 225)
One atom of each set of equivalent atoms:
Rb 0.250 0.250 0.250 [8 per cell]
V 0.000 0.000 0.000 [4 per cell]
Ni 0.000 0.000 0.500 [4 per cell]
F 0.000 0.000 0.255 [24 per cell]

=====

The following is a DFT calculation (GGA+U) of MgV3P3O13 after structural relaxation.

Uncorrected energy: -7.482 eV per atom

Cell lengths 7.499, 6.324, 10.779 Å; angles 90.00, 100.04, 90.00 degrees
Space group P2_1/m (No. 11)
One atom of each set of equivalent atoms:
Mg 0.116 0.250 0.139 [2 per cell]
V 0.134 0.250 0.800 [2 per cell]
V 0.274 0.750 0.449 [2 per cell]
V 0.500 0.000 0.000 [2 per cell]
P 0.194 0.750 0.125 [2 per cell]
P 0.223 0.750 0.771 [2 per cell]
P 0.279 0.250 0.521 [2 per cell]
O 0.000 0.250 0.958 [2 per cell]
O 0.098 0.564 0.800 [4 per cell]
O 0.152 0.750 0.260 [2 per cell]
O 0.161 0.250 0.624 [2 per cell]
O 0.231 0.055 0.435 [4 per cell]
O 0.273 0.750 0.642 [2 per cell]
O 0.289 0.539 0.102 [4 per cell]
O 0.374 0.250 0.912 [2 per cell]
O 0.396 0.750 0.876 [2 per cell]
O 0.482 0.250 0.583 [2 per cell]

=====

| no. | mass density (Mg/m³) |
| --- | --- |
| 1 | 4.43 |
| 2 | 3.15 |